Computed, not measured: a relaxed structure of Pr3Sm6Er2 at the PBE level of DFT.

- formation energy (meV per atom) = 269.1
- polymorph energy (0 for the lowest one) (eV per formula unit) = 1.78
- calculated density (kg/m3) = 7037

a b c (Å): 17.1387 17.1387 17.1387
angles (deg): 163.80 163.80 22.98
Atoms (fractional coordinates):
1 Pr 0.0000 0.0000 0.0000
2 Pr 0.2031 0.2031 0.0000
3 Pr 0.7969 0.7969 0.0000
4 Sm 0.1189 0.6189 0.5000
5 Sm 0.3064 0.3064 0.0000
6 Sm 0.3811 0.8811 0.5000
7 Sm 0.6189 0.1189 0.5000
8 Sm 0.6936 0.6936 0.0000
9 Sm 0.8811 0.3811 0.5000
10 Er 0.4544 0.4544 0.0000
11 Er 0.5456 0.5456 0.0000

Computed, not measured: a relaxed structure of Pr7SmEr12 at the PBE level of DFT.

- formation energy (meV per atom) = 228.0
- polymorph energy (0 for the lowest one) (eV per formula unit) = 0.00
- calculated density (kg/m3) = 7723

a b c (Å): 8.7966 8.7966 8.7966
angles (deg): 86.02 86.02 86.02
Atoms (fractional coordinates):
1 Pr 0.0000 0.0000 0.0000
2 Pr 0.1020 0.3422 0.4231
3 Pr 0.3422 0.4231 0.1020
4 Pr 0.4231 0.1020 0.3422
5 Pr 0.5769 0.8980 0.6578
6 Pr 0.6578 0.5769 0.8980
7 Pr 0.8980 0.6578 0.5769
8 Sm 0.5000 0.5000 0.5000
9 Er 0.0033 0.3653 0.8815
10 Er 0.1185 0.9967 0.6347
11 Er 0.2259 0.7563 0.3551
12 Er 0.2437 0.6449 0.7741
13 Er 0.3551 0.2259 0.7563
14 Er 0.3653 0.8815 0.0033
15 Er 0.6347 0.1185 0.9967
16 Er 0.6449 0.7741 0.2437
17 Er 0.7563 0.3551 0.2259
18 Er 0.7741 0.2437 0.6449
19 Er 0.8815 0.0033 0.3653
20 Er 0.9967 0.6347 0.1185

Computed, not measured: a relaxed structure of Pr7Sm4Er at the PBE level of DFT.

- formation energy (meV per atom) = 12.0
- polymorph energy (0 for the lowest one) (eV per formula unit) = 0.00
- calculated density (kg/m3) = 6932

a b c (Å): 6.4002 7.3892 9.1425
angles (deg): 90.00 103.49 90.01
Atoms (fractional coordinates):
1 Pr 0.0000 0.0000 0.0000
2 Pr 0.2215 0.4998 0.6667
3 Pr 0.2780 0.7506 0.3312
4 Pr 0.4994 0.2505 0.0009
5 Pr 0.5006 0.7495 0.9991
6 Pr 0.7220 0.2494 0.6688
7 Pr 0.7785 0.5002 0.3333
8 Sm 0.2228 0.9996 0.6662
9 Sm 0.2769 0.2499 0.3302
10 Sm 0.7231 0.7501 0.6698
11 Sm 0.7772 0.0004 0.3338
12 Er 0.0000 0.5000 0.0000

Computed, not measured: a relaxed structure of Pr12SmEr7 at the PBE level of DFT.

- formation energy (meV per atom) = 144.2
- polymorph energy (0 for the lowest one) (eV per formula unit) = 0.00
- calculated density (kg/m3) = 7246

a b c (Å): 9.4770 9.4770 9.4770
angles (deg): 107.92 107.92 107.92
Atoms (fractional coordinates):
1 Pr 0.0541 0.2953 0.4082
2 Pr 0.2196 0.6728 0.3777
3 Pr 0.2953 0.4082 0.0541
4 Pr 0.3272 0.6223 0.7804
5 Pr 0.3777 0.2196 0.6728
6 Pr 0.4082 0.0541 0.2953
7 Pr 0.5918 0.9459 0.7047
8 Pr 0.6223 0.7804 0.3272
9 Pr 0.6728 0.3777 0.2196
10 Pr 0.7047 0.5918 0.9459
11 Pr 0.7804 0.3272 0.6223
12 Pr 0.9459 0.7047 0.5918
13 Sm 0.0000 0.0000 0.0000
14 Er 0.0071 0.8959 0.3188
15 Er 0.1041 0.6812 0.9929
16 Er 0.3188 0.0071 0.8959
17 Er 0.5000 0.5000 0.5000
18 Er 0.6812 0.9929 0.1041
19 Er 0.8959 0.3188 0.0071
20 Er 0.9929 0.1041 0.6812

What did the fourth record say?
Computed, not measured: a relaxed structure of Pr12SmEr7 at the PBE level of DFT.

- formation energy (meV per atom) = 144.2
- polymorph energy (0 for the lowest one) (eV per formula unit) = 0.00
- calculated density (kg/m3) = 7246

a b c (Å): 9.4770 9.4770 9.4770
angles (deg): 107.92 107.92 107.92
Atoms (fractional coordinates):
1 Pr 0.0541 0.2953 0.4082
2 Pr 0.2196 0.6728 0.3777
3 Pr 0.2953 0.4082 0.0541
4 Pr 0.3272 0.6223 0.7804
5 Pr 0.3777 0.2196 0.6728
6 Pr 0.4082 0.0541 0.2953
7 Pr 0.5918 0.9459 0.7047
8 Pr 0.6223 0.7804 0.3272
9 Pr 0.6728 0.3777 0.2196
10 Pr 0.7047 0.5918 0.9459
11 Pr 0.7804 0.3272 0.6223
12 Pr 0.9459 0.7047 0.5918
13 Sm 0.0000 0.0000 0.0000
14 Er 0.0071 0.8959 0.3188
15 Er 0.1041 0.6812 0.9929
16 Er 0.3188 0.0071 0.8959
17 Er 0.5000 0.5000 0.5000
18 Er 0.6812 0.9929 0.1041
19 Er 0.8959 0.3188 0.0071
20 Er 0.9929 0.1041 0.6812